The following is a DFT calculation (PBE) of a geometry-optimized Y2TiGe3Pt4 structure.

Cell lengths 4.116, 4.116, 11.072 Å; angles 90.00, 90.00, 90.00 degrees
Positions (direct):
Y: 0.000 0.500 0.234
Y: 0.500 0.000 0.766
Ti: 0.000 0.000 0.500
Ge: 0.000 0.500 0.860
Ge: 0.500 0.000 0.140
Ge: 0.500 0.500 0.500
Pt: 0.000 0.000 0.000
Pt: 0.000 0.500 0.640
Pt: 0.500 0.000 0.360
Pt: 0.500 0.500 0.000

Computed properties:
Final energy (eV/cell): -68.259
Density (g/cm3): 10.8
Space group: No. 115